No. 1
This record from Alexandria via LeMat-Bulk describes Er3Tl3CrTe8 after structural relaxation. The functional is PBE.

Output
For the formation energy (no corrections), the calculation gives -814 meV/atom. As for the size of the total moment: 0.1795 μB per atom. The uncorrected energy comes out at -67.749 eV per cell.

a b c (Å): 9.6172 9.6172 9.6172
angles (deg): 53.06 53.06 53.06
Positions (direct):
Er1 0.0000 0.5000 0.5000
Er2 0.5000 0.0000 0.5000
Er3 0.5000 0.5000 0.0000
Tl1 0.0000 0.0000 0.5000
Tl2 0.0000 0.5000 0.0000
Tl3 0.5000 0.0000 0.0000
Cr1 0.0000 0.0000 0.0000
Te1 0.2204 0.2204 0.7580
Te2 0.2204 0.7580 0.2204
Te3 0.2420 0.7796 0.7796
Te4 0.2615 0.2615 0.2615
Te5 0.7385 0.7385 0.7385
Te6 0.7580 0.2204 0.2204
Te7 0.7796 0.2420 0.7796
Te8 0.7796 0.7796 0.2420


No. 2
This record from Alexandria via LeMat-Bulk describes ErTi2Cr after structural relaxation. The functional is PBE.

Output
As for the size of the total moment: 0.0000 μB per atom. The uncorrected energy comes out at -29.379 eV per cell.

a b c (Å): 3.1371 3.1371 7.5372
angles (deg): 90.00 90.00 90.00
Positions (direct):
Er1 0.0000 0.0000 0.0000
Ti1 0.5000 0.5000 0.3176
Ti2 0.5000 0.5000 0.6824
Cr1 0.0000 0.0000 0.5000


No. 3
This record from Alexandria via LeMat-Bulk describes ErVCr after structural relaxation. The functional is PBE.

Output
As for the size of the total moment: 0.0001 μB per atom. The uncorrected energy comes out at -44.630 eV per cell.

a b c (Å): 3.3238 4.3805 7.6252
angles (deg): 90.00 90.00 90.00
Positions (direct):
Er1 0.2500 0.2500 0.1542
Er2 0.7500 0.7500 0.8458
V1 0.2500 0.2500 0.6933
V2 0.7500 0.7500 0.3067
Cr1 0.2500 0.7500 0.5171
Cr2 0.7500 0.2500 0.4829


No. 4
This record from Alexandria via LeMat-Bulk describes ErCr4W after structural relaxation. The functional is PBE.

Output
As for the size of the total moment: 0.0000 μB per atom. The uncorrected energy comes out at -54.881 eV per cell.

a b c (Å): 4.9826 4.9826 4.9826
angles (deg): 60.00 60.00 60.00
Positions (direct):
Er1 0.0000 0.0000 0.0000
Cr1 0.1269 0.6244 0.6244
Cr2 0.6244 0.1269 0.6244
Cr3 0.6244 0.6244 0.1269
Cr4 0.6244 0.6244 0.6244
W1 0.2500 0.2500 0.2500


No. 5
This record from Alexandria via LeMat-Bulk describes YErZnCr after structural relaxation. The functional is PBE.

Output
As for the size of the total moment: 0.8670 μB per atom. The uncorrected energy comes out at -21.910 eV per cell.

a b c (Å): 5.0311 5.0311 5.0311
angles (deg): 60.00 60.00 60.00
Positions (direct):
Y1 0.0000 0.0000 0.0000
Er1 0.5000 0.5000 0.5000
Zn1 0.2500 0.2500 0.2500
Cr1 0.7500 0.7500 0.7500


No. 6
This record from Alexandria via LeMat-Bulk describes ErZrCr4 after structural relaxation. The functional is PBE.

Output
As for the size of the total moment: 0.0000 μB per atom. The uncorrected energy comes out at -50.726 eV per cell.

a b c (Å): 5.1099 5.1099 5.1099
angles (deg): 60.00 60.00 60.00
Positions (direct):
Er1 0.0000 0.0000 0.0000
Zr1 0.2500 0.2500 0.2500
Cr1 0.1248 0.6251 0.6251
Cr2 0.6251 0.1248 0.6251
Cr3 0.6251 0.6251 0.1248
Cr4 0.6251 0.6251 0.6251


No. 7
This record from Alexandria via LeMat-Bulk describes Eu3Cr after structural relaxation. The functional is PBE.

Output
The offset from the most stable computed form comes out at 0.0 meV per atom. As for the size of the total moment: 6.7566 μB per atom. The uncorrected energy comes out at -77.530 eV per cell.

a b c (Å): 7.3732 7.3732 5.8894
angles (deg): 90.00 90.00 120.00
Positions (direct):
Eu1 0.1729 0.3458 0.2500
Eu2 0.1729 0.8271 0.2500
Eu3 0.3458 0.1729 0.7500
Eu4 0.6542 0.8271 0.2500
Eu5 0.8271 0.1729 0.7500
Eu6 0.8271 0.6542 0.7500
Cr1 0.3333 0.6667 0.7500
Cr2 0.6667 0.3333 0.2500


No. 8
This record from Alexandria via LeMat-Bulk describes Eu3Cr after structural relaxation. The functional is PBE.

Output
The offset from the most stable computed form comes out at 11.0 meV per atom. As for the size of the total moment: 6.6751 μB per atom. The uncorrected energy comes out at -38.721 eV per cell.

a b c (Å): 5.1754 5.1754 5.1754
angles (deg): 90.00 90.00 90.00
Positions (direct):
Eu1 0.0000 0.0000 0.5000
Eu2 0.0000 0.5000 0.0000
Eu3 0.5000 0.0000 0.0000
Cr1 0.5000 0.5000 0.5000


Question: Which of these has the highest uncorrected energy?
Answer: YErZnCr